DFT (PBE) results for a relaxed AgIrPtO4 crystal.

abc: 6.4232 6.4392 9.0391
angles: 90.00 90.00 90.00
Space group Imma (No. 74)
Asymmetric unit:
Ag1 0.0000 0.2500 0.1227 [4 per cell]
Ir1 0.0000 0.0000 0.5000 [4 per cell]
Pt1 0.2500 0.2500 0.7500 [4 per cell]
O1 0.0000 0.0448 0.7277 [8 per cell]
O2 0.2031 0.2500 0.5224 [8 per cell]

Results
Uncorrected formation energy, eV per atom: -0.3958

DFT (PBE) results for a relaxed Pu2AgIrO8 crystal.

abc: 5.9151 5.9151 6.6769
angles: 90.00 90.00 120.00
Space group P-3m1 (No. 164)
Asymmetric unit:
Pu1 0.3333 0.6667 0.3071 [2 per cell]
Ag1 0.0000 0.0000 0.5000 [1 per cell]
Ir1 0.0000 0.0000 0.0000 [1 per cell]
O1 0.1515 0.3031 0.1785 [6 per cell]
O2 0.3333 0.6667 0.5902 [2 per cell]

Results
Uncorrected formation energy, eV per atom: -1.4588

DFT (PBE) results for a relaxed AgIrRhO6 crystal.

abc: 5.2687 5.2687 9.3453
angles: 90.00 90.00 120.00
Space group P-31c (No. 163)
Asymmetric unit:
Ag1 0.0000 0.0000 0.0000 [2 per cell]
Ir1 0.3333 0.6667 0.2500 [2 per cell]
Rh1 0.3333 0.6667 0.7500 [2 per cell]
O1 0.0064 0.3790 0.1365 [12 per cell]

Results
Uncorrected formation energy, eV per atom: -0.4945

DFT (PBE) results for a relaxed AgSbIrO6 crystal.

abc: 5.3207 5.3207 9.6263
angles: 90.00 90.00 120.00
Space group P-31c (No. 163)
Asymmetric unit:
Ag1 0.0000 0.0000 0.0000 [2 per cell]
Sb1 0.3333 0.6667 0.2500 [2 per cell]
Ir1 0.3333 0.6667 0.7500 [2 per cell]
O1 0.0106 0.3779 0.6367 [12 per cell]

Results
Uncorrected formation energy, eV per atom: -0.7815

DFT (PBE) results for a relaxed AgIrSe2O crystal.

abc: 4.9394 4.9394 5.1545
angles: 90.00 90.00 90.00
Space group P4/mmm (No. 123)
Asymmetric unit:
Ag1 0.0000 0.0000 0.0000 [1 per cell]
Ir1 0.0000 0.0000 0.5000 [1 per cell]
Se1 0.0000 0.5000 0.0000 [2 per cell]
O1 0.5000 0.5000 0.5000 [1 per cell]

Results
Uncorrected formation energy, eV per atom: 1.9184

DFT (PBE) results for a relaxed SiAg2IrO crystal.

abc: 5.2736 5.2736 3.6006
angles: 90.00 90.00 90.00
Space group P4/mmm (No. 123)
Asymmetric unit:
Si1 0.0000 0.0000 0.0000 [1 per cell]
Ag1 0.0000 0.5000 0.5000 [2 per cell]
Ir1 0.5000 0.5000 0.5000 [1 per cell]
O1 0.5000 0.5000 0.0000 [1 per cell]

Results
Uncorrected formation energy, eV per atom: 0.4989

DFT (PBE) results for a relaxed SmAg2IrO6 crystal.

abc: 5.7067 5.7179 9.9138
angles: 90.00 123.79 90.00
Space group P2_1/c (No. 14)
Asymmetric unit:
Sm1 0.0000 0.0000 0.0000 [2 per cell]
Ag1 0.2464 0.0171 0.7525 [4 per cell]
Ir1 0.5000 0.0000 0.5000 [2 per cell]
O1 0.1906 0.0394 0.2750 [4 per cell]
O2 0.2491 0.6555 0.0437 [4 per cell]
O3 0.3933 0.2045 0.0435 [4 per cell]

Results
Uncorrected formation energy, eV per atom: -1.0917

DFT (PBE) results for a relaxed TaAgIrO6 crystal.

abc: 4.8477 4.8477 9.4580
angles: 90.00 90.00 90.00
Space group P4_2nm (No. 102)
Asymmetric unit:
Ta1 0.0000 0.0000 0.0000 [2 per cell]
Ag1 0.0000 0.0000 0.3249 [2 per cell]
Ir1 0.0000 0.0000 0.6612 [2 per cell]
O1 0.1763 0.1763 0.8270 [4 per cell]
O2 0.2118 0.2118 0.5183 [4 per cell]
O3 0.2215 0.2215 0.1388 [4 per cell]

Results
Uncorrected formation energy, eV per atom: -1.3062

DFT (PBE) results for a relaxed TcAgIr2O crystal.

abc: 4.0929 4.0929 4.4431
angles: 90.00 90.00 90.00
Space group P4/mmm (No. 123)
Asymmetric unit:
Tc1 0.0000 0.0000 0.0000 [1 per cell]
Ag1 0.5000 0.5000 0.0000 [1 per cell]
Ir1 0.0000 0.5000 0.5000 [2 per cell]
O1 0.5000 0.5000 0.5000 [1 per cell]

Results
Uncorrected formation energy, eV per atom: 0.9082

DFT (PBE) results for a relaxed AgTeIrO6 crystal.

abc: 5.2987 5.2987 9.8963
angles: 90.00 90.00 120.00
Space group P-31c (No. 163)
Asymmetric unit:
Ag1 0.0000 0.0000 0.0000 [2 per cell]
Te1 0.3333 0.6667 0.2500 [2 per cell]
Ir1 0.3333 0.6667 0.7500 [2 per cell]
O1 0.0027 0.3740 0.6398 [12 per cell]

Results
Uncorrected formation energy, eV per atom: -0.6825

DFT (PBE) results for a relaxed Tl2Ag2IrO6 crystal.

abc: 5.9591 10.2752 6.4363
angles: 90.00 99.19 90.00
Space group C2/m (No. 12)
Asymmetric unit:
Tl1 0.0000 0.1640 0.0000 [4 per cell]
Ag1 0.0000 0.3550 0.5000 [4 per cell]
Ir1 0.0000 0.5000 0.0000 [2 per cell]
O1 0.1041 0.3548 0.8290 [8 per cell]
O2 0.1913 0.0000 0.8445 [4 per cell]

Results
Uncorrected formation energy, eV per atom: -0.5357

DFT (PBE) results for a relaxed TlAgIrO4 crystal.

abc: 6.3640 6.8126 9.7043
angles: 90.00 90.00 90.00
Space group Imma (No. 74)
Asymmetric unit:
Tl1 0.0000 0.0000 0.0000 [4 per cell]
Ag1 0.0000 0.2500 0.3725 [4 per cell]
Ir1 0.2500 0.2500 0.7500 [4 per cell]
O1 0.0000 0.0589 0.7551 [8 per cell]
O2 0.2462 0.2500 0.9518 [8 per cell]

Results
Uncorrected formation energy, eV per atom: -0.5316

The raw total energy results, record by record, are as follows: -40.4 -97.5 -53.3 -52.6 -14.0 -22.5 -59.9 -65.1 -31.4 -50.7 -54.9 -37.6 eV per formula unit.
The total magnetic moment results, record by record, are as follows: 0.00 0.33 0.10 0.09 0.61 0.00 0.00 0.00 0.62 0.09 0.08 0.12 μB/atom.